Record 1
ReWBr2 | PBE | relaxed

Structure (CIF):
```
data_ReWBr2
_chemical_formula_sum 'Re3 W3 Br6'
_cell_length_a 3.0349
_cell_length_b 3.0349
_cell_length_c 25.8754
_cell_angle_alpha 90.00
_cell_angle_beta 90.00
_cell_angle_gamma 120.00
_symmetry_space_group_name_H-M 'R -3 m'
_symmetry_Int_Tables_number 166
_symmetry_space_group_name_Hall '-R 3 2"'
loop_
_atom_site_label
_atom_site_fract_x
_atom_site_fract_y
_atom_site_fract_z
Re1 0.0000 0.0000 0.0000
W1 0.0000 0.0000 0.5000
Br1 0.0000 0.0000 0.2475
```

- DOS at the Fermi energy (states/eV/cell) = 11.90
- crystal system = trigonal

Record 2
ReW2Br | PBE | relaxed

Structure (CIF):
```
data_ReW2Br
_chemical_formula_sum 'Re4 W8 Br4'
_cell_length_a 6.055
_cell_length_b 6.055
_cell_length_c 10.108
_cell_angle_alpha 90.00
_cell_angle_beta 90.00
_cell_angle_gamma 90.00
_symmetry_space_group_name_H-M 'I -4 2 d'
_symmetry_Int_Tables_number 122
_symmetry_space_group_name_Hall 'I -4 2bw'
loop_
_atom_site_label
_atom_site_fract_x
_atom_site_fract_y
_atom_site_fract_z
Re1 0.000 0.000 0.000
W1 0.244 0.250 0.125
Br1 0.000 0.000 0.500
```

- DOS at the Fermi energy (states/eV/cell) = 18.49
- crystal system = tetragonal

Record 3
ReW2Br | PBE | relaxed

Structure (CIF):
```
data_ReW2Br
_chemical_formula_sum 'Re2 W4 Br2'
_cell_length_a 5.477
_cell_length_b 8.614
_cell_length_c 2.905
_cell_angle_alpha 90.00
_cell_angle_beta 106.38
_cell_angle_gamma 90.00
_symmetry_space_group_name_H-M 'C 1 2/m 1'
_symmetry_Int_Tables_number 12
_symmetry_space_group_name_Hall '-C 2y'
loop_
_atom_site_label
_atom_site_fract_x
_atom_site_fract_y
_atom_site_fract_z
Re1 0.000 0.000 0.000
W1 0.250 0.250 0.500
Br1 0.000 0.500 0.000
```

- DOS at the Fermi energy (states/eV/cell) = 7.80
- crystal system = monoclinic

Record 4
ReW2Br | PBE | relaxed

Structure (CIF):
```
data_ReW2Br
_chemical_formula_sum 'Re1 W2 Br1'
_cell_length_a 3.029
_cell_length_b 4.614
_cell_length_c 4.657
_cell_angle_alpha 90.00
_cell_angle_beta 90.00
_cell_angle_gamma 90.00
_symmetry_space_group_name_H-M 'P m m m'
_symmetry_Int_Tables_number 47
_symmetry_space_group_name_Hall '-P 2 2'
loop_
_atom_site_label
_atom_site_fract_x
_atom_site_fract_y
_atom_site_fract_z
Re1 0.000 0.000 0.000
W1 0.000 0.500 0.500
W2 0.500 0.000 0.500
Br1 0.500 0.500 0.000
```

- DOS at the Fermi energy (states/eV/cell) = 2.90
- crystal system = orthorhombic

Record 5
ReWBr2 | PBE | relaxed

Structure (CIF):
```
data_ReWBr2
_chemical_formula_sum 'Re2 W2 Br4'
_cell_length_a 3.134
_cell_length_b 4.320
_cell_length_c 14.929
_cell_angle_alpha 90.00
_cell_angle_beta 90.00
_cell_angle_gamma 90.00
_symmetry_space_group_name_H-M 'I m m m'
_symmetry_Int_Tables_number 71
_symmetry_space_group_name_Hall '-I 2 2'
loop_
_atom_site_label
_atom_site_fract_x
_atom_site_fract_y
_atom_site_fract_z
Re1 0.000 0.000 0.000
W1 0.000 0.000 0.500
Br1 0.000 0.500 0.147
```

- DOS at the Fermi energy (states/eV/cell) = 5.84
- crystal system = orthorhombic

Record 6
ReWBr2 | PBE | relaxed

Structure (CIF):
```
data_ReWBr2
_chemical_formula_sum 'Re2 W2 Br4'
_cell_length_a 4.418
_cell_length_b 4.418
_cell_length_c 7.399
_cell_angle_alpha 90.00
_cell_angle_beta 90.00
_cell_angle_gamma 90.00
_symmetry_space_group_name_H-M 'I -4 m 2'
_symmetry_Int_Tables_number 119
_symmetry_space_group_name_Hall 'I -4 -2'
loop_
_atom_site_label
_atom_site_fract_x
_atom_site_fract_y
_atom_site_fract_z
Re1 0.000 0.000 0.000
W1 0.000 0.500 0.750
Br1 0.000 0.000 0.500
Br2 0.000 0.500 0.250
```

- DOS at the Fermi energy (states/eV/cell) = 6.26
- crystal system = tetragonal

Record 7
ReWBr2 | PBE | relaxed

Structure (CIF):
```
data_ReWBr2
_chemical_formula_sum 'Re1 W1 Br2'
_cell_length_a 3.044
_cell_length_b 3.044
_cell_length_c 8.967
_cell_angle_alpha 90.00
_cell_angle_beta 90.00
_cell_angle_gamma 90.00
_symmetry_space_group_name_H-M 'P 4 m m'
_symmetry_Int_Tables_number 99
_symmetry_space_group_name_Hall 'P 4 -2'
loop_
_atom_site_label
_atom_site_fract_x
_atom_site_fract_y
_atom_site_fract_z
Re1 0.000 0.000 0.000
W1 0.500 0.500 0.187
Br1 0.000 0.000 0.390
Br2 0.500 0.500 0.793
```

- DOS at the Fermi energy (states/eV/cell) = 4.21
- crystal system = tetragonal

Record 8
ReW3Br | PBE | relaxed

Structure (CIF):
```
data_ReW3Br
_chemical_formula_sum 'Re1 W3 Br1'
_cell_length_a 4.836
_cell_length_b 4.836
_cell_length_c 4.836
_cell_angle_alpha 90.00
_cell_angle_beta 90.00
_cell_angle_gamma 90.00
_symmetry_space_group_name_H-M 'P m -3 m'
_symmetry_Int_Tables_number 221
_symmetry_space_group_name_Hall '-P 4 2 3'
loop_
_atom_site_label
_atom_site_fract_x
_atom_site_fract_y
_atom_site_fract_z
Re1 0.000 0.000 0.000
W1 0.000 0.000 0.500
Br1 0.500 0.500 0.500
```

- DOS at the Fermi energy (states/eV/cell) = 6.78
- crystal system = cubic

In eV/atom, the E_form (uncorrected) values for the records above are, in order, 1.284, 1.712, 1.136, 1.096, 0.822, 1.545, 0.447, 2.296.
In eV/cell, the calculated total energy values for the records above are, in order, -70.833, -132.712, -70.963, -35.642, -50.919, -45.133, -26.960, -41.501.